Entry 1:
The following is a GGA-PBE calculation of a relaxed LiTiNiGe2 crystal, from Alexandria via LeMat-Bulk.

a b c (Å): 4.833 4.833 4.749
angles (deg): 90.00 90.00 90.00
Space group P4/mmm (No. 123)
Symmetry-distinct sites (fractional):
1 Li 0.000 0.000 0.000
2 Ti 0.000 0.000 0.500
3 Ni 0.500 0.500 0.000
4 Ge 0.000 0.500 0.500

## Properties
Calculated formation energy   0.919 eV per atom

---

Entry 2:
The following is a GGA-PBE calculation of a relaxed Sc2Sn2Mo crystal, from Alexandria via LeMat-Bulk.

a b c (Å): 7.165 7.165 4.364
angles (deg): 90.00 90.00 90.00
Space group P4/mbm (No. 127)
Symmetry-distinct sites (fractional):
1 Sc 0.158 0.342 0.000
2 Sn 0.156 0.656 0.500
3 Mo 0.000 0.000 0.000

## Properties
Calculated formation energy   0.160 eV per atom

---

Repeat the first record exactly.
The following is a GGA-PBE calculation of a relaxed LiTiNiGe2 crystal, from Alexandria via LeMat-Bulk.

a b c (Å): 4.833 4.833 4.749
angles (deg): 90.00 90.00 90.00
Space group P4/mmm (No. 123)
Symmetry-distinct sites (fractional):
1 Li 0.000 0.000 0.000
2 Ti 0.000 0.000 0.500
3 Ni 0.500 0.500 0.000
4 Ge 0.000 0.500 0.500

## Properties
Calculated formation energy   0.919 eV per atom

---

Which value of calculated formation energy does entry 2 give? 0.160 eV per atom